Entry 1:
This record from the Alexandria database describes a relaxed structure of Fe2RuAu. The functional is GGA-PBEsol.

Lattice parameters (Å, degrees): 2.705 2.705 8.583 80.93 80.93 60.00
Sites, in units of the cell vectors:
Fe 0.748 0.748 0.756
Ru 0.491 0.491 0.527
Fe 0.008 0.008 0.976
Au 0.253 0.253 0.241

Computed properties:
DOS(E_F) ... 4.54 states/eV/cell
Excess energy over the best structure of this formula in the dataset ... 0.074 eV/atom
Symmetry ... R3m (160)
Formation energy ... 278 meV per atom

=====

Entry 2:
This record from the Alexandria database describes a relaxed structure of Fe2RuAu. The functional is GGA-PBEsol.

Lattice parameters (Å, degrees): 2.680 4.585 4.586 102.27 90.00 107.00
Sites, in units of the cell vectors:
Au 0.746 0.492 0.232
Fe 0.988 0.976 0.992
Ru 0.510 0.020 0.538
Fe 0.256 0.512 0.737

Computed properties:
DOS(E_F) ... 4.45 states/eV/cell
Excess energy over the best structure of this formula in the dataset ... 0.068 eV/atom
Symmetry ... Cm (8)
Formation energy ... 272 meV per atom

=====

Entry 3:
This record from the Alexandria database describes a relaxed structure of Fe2RuAu. The functional is GGA-PBEsol.

Lattice parameters (Å, degrees): 4.255 4.255 4.255 60.00 60.00 60.00
Sites, in units of the cell vectors:
Ru 0.750 0.750 0.750
Fe 0.000 0.000 0.000
Fe 0.250 0.250 0.250
Au 0.500 0.500 0.500

Computed properties:
DOS(E_F) ... 5.52 states/eV/cell
Excess energy over the best structure of this formula in the dataset ... 0.225 eV/atom
Symmetry ... F-43m (216)
Formation energy ... 429 meV per atom

=====

Entry 4:
This record from the Alexandria database describes a relaxed structure of FeTcAu2S. The functional is GGA-PBEsol.

Lattice parameters (Å, degrees): 4.205 4.716 4.716 90.00 90.00 90.00
Sites, in units of the cell vectors:
Tc 0.500 0.000 0.000
Au 0.000 0.500 0.000
S 0.500 0.500 0.500
Au 0.000 0.000 0.500
Fe 0.000 0.000 0.000

Computed properties:
DOS(E_F) ... 4.32 states/eV/cell
Formation energy without anion corrections ... 1.3102 eV/atom
Symmetry ... P4/mmm (123)

=====

Entry 5:
This record from the Alexandria database describes a relaxed structure of FeTeAu2S. The functional is GGA-PBEsol.

Lattice parameters (Å, degrees): 4.831 5.103 5.103 90.00 90.00 90.00
Sites, in units of the cell vectors:
Au 0.000 0.500 0.000
Fe 0.500 0.000 0.000
S 0.500 0.500 0.500
Au 0.000 0.000 0.500
Te 0.000 0.000 0.000

Computed properties:
DOS(E_F) ... 4.56 states/eV/cell
Formation energy without anion corrections ... 1.1134 eV/atom
Symmetry ... P4/mmm (123)

=====

Entry 6:
This record from the Alexandria database describes a relaxed structure of Fe4SbAu. The functional is GGA-PBEsol.

Lattice parameters (Å, degrees): 4.873 4.873 4.873 60.00 60.00 60.00
Sites, in units of the cell vectors:
Fe 0.876 0.375 0.375
Fe 0.375 0.375 0.876
Fe 0.375 0.876 0.375
Fe 0.375 0.375 0.375
Sb 0.750 0.750 0.750
Au 0.000 0.000 0.000

Computed properties:
DOS(E_F) ... 4.24 states/eV/cell
Formation energy without anion corrections ... 0.2226 eV/atom
Symmetry ... F-43m (216)

=====

no.,total magnetic moment (μB per formula unit),raw total energy (Ry per atom)
1,4.9,-0.568
2,4.6,-0.568
3,6.3,-0.557
4,2.6,-0.381
5,4.1,-0.282
6,9.3,-0.527